Ba19In4Pt6 PBE optimized geometry; ρ = 5.40 Mg/m³; energy relative to the elements = -44 kJ per mole of atoms; E = -97.0 eV for the cell shown; M_tot = 0.00 μB per cell
1.0
-6.881 6.881 6.881
6.881 -6.881 6.881
6.881 6.881 -6.881
Ba In Pt
19 4 6
Direct
0.000 0.000 0.000
0.000 0.352 0.352
0.000 0.648 0.648
0.017 0.358 0.771
0.229 0.587 0.246
0.246 0.229 0.587
0.341 0.983 0.754
0.352 0.000 0.352
0.352 0.352 0.000
0.358 0.771 0.017
0.413 0.642 0.659
0.587 0.246 0.229
0.642 0.659 0.413
0.648 0.000 0.648
0.648 0.648 0.000
0.659 0.413 0.642
0.754 0.341 0.983
0.771 0.017 0.358
0.983 0.754 0.341
0.000 0.000 0.671
0.000 0.671 0.000
0.329 0.329 0.329
0.671 0.000 0.000
0.181 0.681 0.500
0.319 0.500 0.819
0.500 0.181 0.681
0.500 0.819 0.319
0.681 0.500 0.181
0.819 0.319 0.500

=====

Re2PtRh PBE optimized geometry; ρ = 18.76 Mg/m³; energy relative to the elements = 0 kJ per mole of atoms; E = -114.9 eV for the cell shown; E above lowest polymorph = 121.5 meV/atom; M_tot = 0.00 μB per cell
1.0
2.756 0.000 0.000
-1.378 2.387 0.000
0.000 0.000 27.064
Re Pt Rh
6 3 3
Direct
0.000 0.000 0.249
0.000 0.000 0.751
0.333 0.667 0.418
0.333 0.667 0.915
0.667 0.333 0.085
0.667 0.333 0.582
0.000 0.000 0.000
0.333 0.667 0.667
0.667 0.333 0.333
0.000 0.000 0.500
0.333 0.667 0.167
0.667 0.333 0.833

=====

CuGeI2O PBE optimized geometry; formation energy without anion corrections = 0.029 eV per atom; ρ = 5.49 Mg/m³; E = -16.6 eV for the cell shown; E above lowest polymorph = 0.0 meV/atom; M_tot = 0.00 μB per cell
1.0
5.740 0.000 0.000
0.000 5.740 0.000
0.000 0.000 3.729
Cu Ge I O
1 1 2 1
Direct
0.000 0.000 0.000
0.500 0.500 0.500
0.000 0.500 0.500
0.500 0.000 0.500
0.500 0.500 0.000

=====

Dy4CoAu3 PBE optimized geometry; ρ = 12.13 Mg/m³; energy relative to the elements = -65 kJ per mole of atoms; E = -40.7 eV for the cell shown; M_tot = 0.74 μB per cell
1.0
3.521 0.000 0.000
0.000 3.521 0.000
0.000 0.000 14.347
Dy Co Au
4 1 3
Direct
0.000 0.000 0.114
0.000 0.000 0.371
0.000 0.000 0.629
0.000 0.000 0.886
0.500 0.500 0.000
0.500 0.500 0.244
0.500 0.500 0.500
0.500 0.500 0.756

=====

CaEu2Y PBE optimized geometry; ρ = 4.57 Mg/m³; energy relative to the elements = 7 kJ per mole of atoms; E = -28.7 eV for the cell shown; E above lowest polymorph = 14.5 meV/atom; M_tot = 15.60 μB per cell
1.0
3.816 0.000 0.000
0.000 3.816 0.000
0.000 0.000 10.797
Ca Eu Y
1 2 1
Direct
0.000 0.000 0.000
0.500 0.500 0.264
0.500 0.500 0.736
0.000 0.000 0.500

=====

HfZnS3 PBE optimized geometry; formation energy without anion corrections = -1.044 eV per atom; ρ = 4.89 Mg/m³; E = -57.7 eV for the cell shown; E above lowest polymorph = 0.0 meV/atom; M_tot = 0.00 μB per cell
1.0
6.449 0.000 0.000
0.000 3.732 0.000
-0.142 0.000 9.588
Hf Zn S
2 2 6
Direct
0.241 0.250 0.050
0.759 0.750 0.950
0.423 0.250 0.596
0.577 0.750 0.404
0.013 0.750 0.149
0.250 0.750 0.523
0.492 0.750 0.144
0.508 0.250 0.856
0.750 0.250 0.477
0.987 0.250 0.851